No. 1
PmIn3Hg6: relaxed, PBE.

Calculated values
- E_tot (eV per atom) = -1.603
- space group = R-3c (167)
- formation enthalpy at 0 K (eV/atom) = -0.125

Unit cell a=8.6436 b=8.6436 c=8.6436 alpha=106.93 beta=106.93 gamma=106.93
Atoms (fractional coordinates):
Pm 0.0000 0.0000 0.0000
Pm 0.5000 0.5000 0.5000
In 0.0804 0.2500 0.4196
In 0.2500 0.4196 0.0804
In 0.4196 0.0804 0.2500
In 0.5804 0.9196 0.7500
In 0.7500 0.5804 0.9196
In 0.9196 0.7500 0.5804
Hg 0.0440 0.8624 0.3128
Hg 0.1376 0.6872 0.9560
Hg 0.1872 0.6376 0.4560
Hg 0.3128 0.0440 0.8624
Hg 0.3624 0.5440 0.8128
Hg 0.4560 0.1872 0.6376
Hg 0.5440 0.8128 0.3624
Hg 0.6376 0.4560 0.1872
Hg 0.6872 0.9560 0.1376
Hg 0.8128 0.3624 0.5440
Hg 0.8624 0.3128 0.0440
Hg 0.9560 0.1376 0.6872

=====

No. 2
MgMnOs2: relaxed, PBE.

Calculated values
- E_tot (eV per atom) = -8.028
- space group = I-4m2 (119)
- formation enthalpy at 0 K (eV/atom) = 0.278

Unit cell a=3.9348 b=3.9348 c=7.4529 alpha=90.00 beta=90.00 gamma=90.00
Atoms (fractional coordinates):
Mg 0.0000 0.0000 0.0000
Mg 0.5000 0.5000 0.5000
Mn 0.0000 0.5000 0.7500
Mn 0.5000 0.0000 0.2500
Os 0.0000 0.0000 0.5000
Os 0.0000 0.5000 0.2500
Os 0.5000 0.0000 0.7500
Os 0.5000 0.5000 0.0000

=====

No. 3
Ti3CoPt: relaxed, PBE.

Calculated values
- E_tot (eV per atom) = -7.901
- space group = P2_1/m (11)
- formation enthalpy at 0 K (eV/atom) = -0.535

Unit cell a=5.1942 b=4.3749 c=7.1085 alpha=90.00 beta=110.73 gamma=90.00
Atoms (fractional coordinates):
Ti 0.0234 0.2500 0.2335
Ti 0.3220 0.2500 0.9603
Ti 0.3793 0.7500 0.5889
Ti 0.6207 0.2500 0.4111
Ti 0.6780 0.7500 0.0397
Ti 0.9766 0.7500 0.7665
Co 0.1261 0.2500 0.5989
Co 0.8739 0.7500 0.4011
Pt 0.2948 0.7500 0.1990
Pt 0.7052 0.2500 0.8010

=====

No. 4
Rb2OsRhF6: relaxed, PBE.

Calculated values
- E_tot (eV per atom) = -4.806
- space group = Fm-3m (225)
- formation energy from raw total energies (eV/atom) = -1.632

Unit cell a=6.2219 b=6.2219 c=6.2219 alpha=60.00 beta=60.00 gamma=60.00
Atoms (fractional coordinates):
Rb 0.2500 0.2500 0.2500
Rb 0.7500 0.7500 0.7500
Os 0.0000 0.0000 0.0000
Rh 0.5000 0.5000 0.5000
F 0.2350 0.2350 0.7650
F 0.2350 0.7650 0.2350
F 0.2350 0.7650 0.7650
F 0.7650 0.2350 0.2350
F 0.7650 0.2350 0.7650
F 0.7650 0.7650 0.2350

=====

No. 5
CeErAl: relaxed, PBE.

Calculated values
- E_tot (eV per atom) = -4.756
- space group = P3m1 (156)
- formation enthalpy at 0 K (eV/atom) = -0.009

Unit cell a=5.1856 b=5.1856 c=3.0429 alpha=90.00 beta=90.00 gamma=120.00
Atoms (fractional coordinates):
Ce 0.0000 0.0000 0.0000
Er 0.6667 0.3333 0.9969
Al 0.3333 0.6667 0.4997

=====

No. 6
YHoTlGa: relaxed, PBE.

Calculated values
- E_tot (eV per atom) = -4.575
- space group = P4mm (99)
- formation enthalpy at 0 K (eV/atom) = -0.467

Unit cell a=3.5778 b=3.5778 c=7.8096 alpha=90.00 beta=90.00 gamma=90.00
Atoms (fractional coordinates):
Y 0.0000 0.0000 0.0000
Ho 0.0000 0.0000 0.4636
Tl 0.5000 0.5000 0.7301
Ga 0.5000 0.5000 0.2339

=====

No. 7
Sr2Ag3Br7: relaxed, PBE.

Calculated values
- E_tot (eV per atom) = -3.164
- space group = Cmc2_1 (36)
- formation energy from raw total energies (eV/atom) = -1.195

Unit cell a=14.1348 b=14.1348 c=7.5125 alpha=90.00 beta=90.00 gamma=31.74
Atoms (fractional coordinates):
Sr 0.1401 0.6506 0.5000
Sr 0.3494 0.8599 0.5000
Sr 0.6506 0.1401 0.0000
Sr 0.8599 0.3494 0.0000
Ag 0.0912 0.4924 0.9723
Ag 0.2318 0.7682 0.0273
Ag 0.4924 0.0912 0.4723
Ag 0.5076 0.9088 0.9723
Ag 0.7682 0.2318 0.5273
Ag 0.9088 0.5076 0.4723
Br 0.0487 0.2392 0.6566
Br 0.1141 0.8859 0.3699
Br 0.1600 0.4215 0.6165
Br 0.2392 0.0487 0.1566
Br 0.3317 0.5226 0.8498
Br 0.4215 0.1600 0.1165
Br 0.4774 0.6683 0.8498
Br 0.5226 0.3317 0.3498
Br 0.5785 0.8400 0.6165
Br 0.6683 0.4774 0.3498
Br 0.7608 0.9513 0.6566
Br 0.8400 0.5785 0.1165
Br 0.8859 0.1141 0.8699
Br 0.9513 0.7608 0.1566

=====

No. 8
Ce2ErLu: relaxed, PBE.

Calculated values
- E_tot (eV per atom) = -5.137
- space group = P4/mmm (123)
- formation enthalpy at 0 K (eV/atom) = 0.101

Unit cell a=3.4535 b=3.4535 c=9.9397 alpha=90.00 beta=90.00 gamma=90.00
Atoms (fractional coordinates):
Ce 0.0000 0.0000 0.2484
Ce 0.0000 0.0000 0.7516
Er 0.5000 0.5000 0.5000
Lu 0.5000 0.5000 0.0000

=====

Number 1: DOS(E_F) 0.45 states/eV per atom, total magnetization 0.0000 μB per atom. Number 2: DOS(E_F) 1.11 states/eV per atom, total magnetization 0.7278 μB per atom. Number 3: DOS(E_F) 1.09 states/eV per atom, total magnetization 0.0943 μB per atom. Number 4: DOS(E_F) 1.03 states/eV per atom, total magnetization 0.3001 μB per atom. Number 5: DOS(E_F) 1.81 states/eV per atom, total magnetization 0.2461 μB per atom. Number 6: DOS(E_F) 0.41 states/eV per atom, total magnetization 0.0000 μB per atom. Number 7: DOS(E_F) 0.00 states/eV per atom, total magnetization 0.0000 μB per atom. Number 8: DOS(E_F) 2.62 states/eV per atom, total magnetization 0.3631 μB per atom.